Zn2CoBr, optimized geometry, DFT PBE; energy above the lowest structure with this stoichiometry = 1.48 eV/f.u.; N(E_F) = 2.7 states/eV/f.u.; total magnetic moment = 0.18 μB/atom; SG = P4/mmm
1.0
-0.3927 -2.8119 -1.4815
1.1831 -2.1658 3.7971
-4.3359 -0.0817 1.3044
Zn Co Br
2 1 1
Cartesian
-1.5764 -1.1237 2.5507
0.0000 0.0000 0.0000
-2.3643 -1.4468 -0.0886
0.3952 -2.4888 1.1578